VASP calculation (PBE+U) on crystalline Ac4TlCr3O12 at its relaxed geometry.

Results
Density: 7181 kg/m³
Electronic total energy: -7.24 eV per atom

Cell and atoms, written as CIF:
```
data_Ac4TlCr3O12
_chemical_formula_sum 'Ac8 Tl2 Cr6 O24'
_space_group_name_H-M_alt 'I m -3'
_space_group_IT_number 204
_space_group_name_Hall '-I 2 2 3'
_cell_length_a 8.7737
_cell_length_b 8.7737
_cell_length_c 8.7737
_cell_angle_alpha 90.00
_cell_angle_beta 90.00
_cell_angle_gamma 90.00
loop_
_atom_site_label
_atom_site_fract_x
_atom_site_fract_y
_atom_site_fract_z
Ac1 0.2500 0.2500 0.2500
Tl1 0.0000 0.0000 0.0000
Cr1 0.0000 0.0000 0.5000
O1 0.0000 0.1503 0.3427
```